A geometry-optimized SrCaLa2P structure. Source: Alexandria, functional PBE.

Cell lengths 5.6602, 5.6602, 5.7556 Å; angles 90.00, 90.00, 90.00 degrees
Atoms (fractional coordinates):
Sr1 0.0000 0.0000 0.0000
Ca1 0.0000 0.0000 0.5000
La1 0.0000 0.5000 0.5000
La2 0.5000 0.0000 0.5000
P1 0.5000 0.5000 0.0000

Properties
ΔE to the lowest computed polymorph: 1.367 eV/atom
Crystal system: tetragonal
Calculated volume: 36.88 A^3/atom
ΔH_f (0 K): 0.92 eV/atom
Total energy: -14.345 eV per formula unit

=====

A geometry-optimized CaLaTc2P structure. Source: Alexandria, functional PBE.

Cell lengths 4.5700, 4.5700, 5.3866 Å; angles 90.00, 90.00, 90.00 degrees
Atoms (fractional coordinates):
Ca1 0.0000 0.0000 0.0000
La1 0.5000 0.5000 0.0000
Tc1 0.0000 0.5000 0.5000
Tc2 0.5000 0.0000 0.5000
P1 0.5000 0.5000 0.5000

Properties
Crystal system: tetragonal
Calculated volume: 22.50 A^3/atom
ΔH_f (0 K): 0.16 eV/atom
Total energy: -32.277 eV per formula unit

=====

How do the records compare in DOS at the Fermi energy? In the order shown, they have 0.8084 1.1681 states/eV per atom.